A relaxed LuThPbAu crystal. Source: the Alexandria database, functional PBE.

extended XYZ file:
```
4
Lattice="5.311 0.000 0.000 2.656 4.600 0.000 2.656 1.533 4.337" Properties=species:S:1:pos:R:3 pbc="T T T"
Pb 5.311 3.067 2.168
Lu 2.656 1.533 1.084
Au 0.000 0.000 0.000
Th 7.967 4.600 3.253
```

Formation energy from the elements ... -0.41 eV per atom
Total moment ... 0.352 μB per formula unit
VASP energy ... -5.141 eV per atom
Space-group type ... No. 216

A relaxed Ni8SnAs2 crystal. Source: the Alexandria database, functional PBE.

extended XYZ file:
```
11
Lattice="4.328 -0.192 -1.203 -1.022 4.646 -1.847 -0.124 0.352 6.835" Properties=species:S:1:pos:R:3 pbc="T T T"
Ni 3.130 1.569 4.502
Ni 2.847 4.474 0.757
Ni 0.864 1.745 0.810
Ni 3.047 0.082 0.105
Ni 0.308 4.034 0.054
Ni 3.316 2.118 1.850
Ni 0.925 2.645 4.993
Ni 1.130 3.781 2.554
Sn -0.648 4.526 4.425
As 2.832 2.483 -0.414
As 1.347 1.378 3.074
```

Formation energy from the elements ... -0.20 eV per atom
Total moment ... 0.000 μB per formula unit
VASP energy ... -5.612 eV per atom
Space-group type ... No. 2

A relaxed PdSeBr3 crystal. Source: the Alexandria database, functional PBE.

extended XYZ file:
```
5
Lattice="-4.846 2.181 0.423 -2.202 -4.578 -1.616 -0.298 -1.644 5.062" Properties=species:S:1:pos:R:3 pbc="T T T"
Se 0.000 0.000 0.000
Br -1.101 -2.289 -0.808
Br -0.149 -0.822 2.531
Br -2.423 1.091 0.212
Pd -3.673 -2.020 1.935
```

Total moment ... 0.519 μB per formula unit
VASP energy ... -2.285 eV per atom
Space-group type ... No. 221
Energy above the most stable polymorph in this dataset ... 694.9 meV/atom

A relaxed VP3Au crystal. Source: the Alexandria database, functional PBE.

extended XYZ file:
```
5
Lattice="-1.331 -1.138 -4.449 0.413 -4.642 1.064 -4.573 -0.088 1.391" Properties=species:S:1:pos:R:3 pbc="T T T"
P 0.206 -2.321 0.532
P -2.287 -0.044 0.695
P -0.665 -0.569 -2.224
Au 0.000 0.000 0.000
V -2.746 -2.934 -0.997
```

Formation energy from the elements ... 1.27 eV per atom
Total moment ... 2.281 μB per formula unit
VASP energy ... -4.450 eV per atom
Space-group type ... No. 221
Energy above the most stable polymorph in this dataset ... 849.0 meV/atom

A relaxed K2Sb2As crystal. Source: the Alexandria database, functional PBE.

extended XYZ file:
```
10
Lattice="-0.761 6.791 -3.576 2.711 -3.124 -6.509 -5.187 -1.372 -1.502" Properties=species:S:1:pos:R:3 pbc="T T T"
Sb 2.073 -0.213 -6.966
Sb 1.052 3.920 -7.218
Sb -0.123 3.879 -3.119
Sb 0.897 -0.253 -2.867
As 0.000 0.000 0.000
As 0.975 1.833 -5.043
K -0.894 -1.602 -5.782
K -0.875 1.332 -8.531
K -2.343 3.897 -5.805
K -2.362 0.963 -3.056
```

Total moment ... 0.000 μB per formula unit
VASP energy ... -3.256 eV per atom
Space-group type ... No. 127
Energy above the most stable polymorph in this dataset ... 0.0 meV/atom

A relaxed K2NbH crystal. Source: the Alexandria database, functional PBE.

extended XYZ file:
```
8
Lattice="7.946 0.000 0.000 0.000 7.946 0.000 3.973 3.973 4.560" Properties=species:S:1:pos:R:3 pbc="T T T"
H 3.973 3.973 0.000
H 3.973 7.946 2.280
Nb 0.000 0.000 0.000
Nb 7.946 3.973 2.280
K 5.011 1.987 1.140
K 2.935 5.960 1.140
K 5.960 6.908 3.420
K 9.933 8.984 3.420
```

Total moment ... 4.750 μB per formula unit
VASP energy ... -2.675 eV per atom
Space-group type ... No. 122
Energy above the most stable polymorph in this dataset ... 0.0 meV/atom

A relaxed Rb3TlPd crystal. Source: the Alexandria database, functional PBE.

extended XYZ file:
```
5
Lattice="-3.380 3.836 3.963 3.063 -2.560 5.090 4.587 4.536 -0.479" Properties=species:S:1:pos:R:3 pbc="T T T"
Tl 2.135 2.906 4.288
Rb 1.532 -1.280 2.545
Rb 2.294 2.268 -0.239
Rb -1.690 1.918 1.982
Pd 0.000 0.000 0.000
```

Formation energy from the elements ... 0.22 eV per atom
Total moment ... 0.000 μB per formula unit
VASP energy ... -1.873 eV per atom
Space-group type ... No. 221
Energy above the most stable polymorph in this dataset ... 0.0 meV/atom

A relaxed TlNiTeN2 crystal. Source: the Alexandria database, functional PBE.

extended XYZ file:
```
5
Lattice="4.173 0.000 0.000 0.000 4.173 0.000 0.000 0.000 6.518" Properties=species:S:1:pos:R:3 pbc="T T T"
Ni 2.087 2.087 3.259
Tl 0.000 0.000 0.000
Te 0.000 0.000 3.259
N 0.000 2.087 0.000
N 2.087 0.000 0.000
```

Total moment ... 3.877 μB per formula unit
VASP energy ... -3.569 eV per atom
Space-group type ... No. 123
Energy above the most stable polymorph in this dataset ... 738.3 meV/atom

A relaxed Tb2SmY2Mg2 crystal. Source: the Alexandria database, functional PBE.

extended XYZ file:
```
7
Lattice="-5.104 -1.734 1.044 -0.836 -4.074 3.585 -2.585 3.428 7.497" Properties=species:S:1:pos:R:3 pbc="T T T"
Tb -4.130 -2.362 4.761
Tb -4.395 -0.017 7.364
Sm 0.000 0.000 0.000
Y -2.303 0.928 4.721
Y -6.222 -3.307 7.404
Mg -6.465 -1.157 9.790
Mg -2.061 -1.222 2.335
```

Formation energy from the elements ... -0.03 eV per atom
Total moment ... 0.000 μB per formula unit
VASP energy ... -4.325 eV per atom
Space-group type ... No. 166

A relaxed HgRu3 crystal. Source: the Alexandria database, functional PBE.

extended XYZ file:
```
8
Lattice="-1.959 1.959 8.095 1.959 -1.959 8.095 1.959 1.959 -8.095" Properties=species:S:1:pos:R:3 pbc="T T T"
Hg 0.000 0.000 6.098
Hg 0.000 0.000 10.092
Ru 0.000 1.959 0.000
Ru 0.000 0.000 2.101
Ru 0.000 0.000 14.088
Ru 0.000 1.959 4.047
Ru 1.959 0.000 4.047
Ru 1.959 0.000 0.000
```

Formation energy from the elements ... 0.61 eV per atom
Total moment ... 1.609 μB per formula unit
VASP energy ... -6.422 eV per atom
Space-group type ... No. 139

A relaxed Dy2MgAl3Au4 crystal. Source: the Alexandria database, functional PBE.

extended XYZ file:
```
10
Lattice="-1.507 1.922 -3.605 -2.364 -3.544 -0.901 -8.215 4.055 5.597" Properties=species:S:1:pos:R:3 pbc="T T T"
Dy -2.728 1.936 -0.457
Dy -7.422 1.308 3.801
Mg -6.043 1.216 0.546
Al -4.107 2.028 2.799
Al -7.908 4.492 3.072
Al -2.242 -1.248 0.272
Au -1.935 -0.811 -2.253
Au 0.000 0.000 0.000
Au -6.023 3.562 1.788
Au -4.127 -0.318 1.556
```

Formation energy from the elements ... -0.66 eV per atom
Total moment ... 0.000 μB per formula unit
VASP energy ... -4.178 eV per atom
Space-group type ... No. 115

A relaxed Pm2PrY4Sc crystal. Source: the Alexandria database, functional PBE.

extended XYZ file:
```
16
Lattice="9.317 -0.004 -1.760 -0.011 9.317 -1.760 -5.906 -5.910 8.341" Properties=species:S:1:pos:R:3 pbc="T T T"
Pm 4.658 -0.002 -0.880
Pm 1.705 -2.957 3.291
Pm -2.953 -2.955 4.170
Pm 4.653 4.656 -1.760
Pr -0.005 4.658 -0.880
Pr 6.358 1.699 1.531
Y 2.190 7.119 -1.756
Y 3.900 -0.498 2.407
Y -0.499 3.900 2.415
Y 1.210 -3.716 6.577
Y 1.159 1.164 5.570
Y 3.937 3.944 1.662
Y -0.537 -0.542 3.159
Y 2.241 2.239 -0.748
Sc 1.700 1.701 2.411
Sc 3.411 -5.914 6.581
```

Formation energy from the elements ... 0.41 eV per atom
Total moment ... 2.377 μB per formula unit
VASP energy ... -5.397 eV per atom
Space-group type ... No. 15